# 1
Compound: AcDy5Y3
Source: Alexandria
Functional: PBE
Structure: optimized geometry

Results
E_tot ... -41.84 eV per formula unit

a = 9.5743 Å, b = 9.5743 Å, c = 10.1371 Å
α = 120.92°, β = 120.92°, γ = 73.12°
Closest atoms and distances in Å follow each position.
Atoms (fractional coordinates):
Ac 0.2492 0.2492 0.4105  4 Y 3.32-3.47, 2 Dy 3.46-3.49
Ac 0.7508 0.7508 0.5895  4 Y 3.32-3.47, 2 Dy 3.46-3.49
Dy 0.1042 0.6023 0.2403  3 Dy 3.31-3.67, 2 Y 3.45-3.53
Dy 0.2237 0.2237 0.0423  3 Y 3.18-3.39, 3 Dy 3.25-3.31, 1 Ac 3.49
Dy 0.2586 0.7414 0.0000  1 Y 2.95
Dy 0.2728 0.2728 0.7741  3 Y 3.23-3.50, 3 Dy 3.25-3.41, 1 Ac 3.46
Dy 0.3977 0.8958 0.7597  3 Dy 3.31-3.67, 2 Y 3.45-3.53
Dy 0.6023 0.1042 0.2403  3 Dy 3.31-3.67, 2 Y 3.45-3.53
Dy 0.7272 0.7272 0.2259  3 Y 3.23-3.50, 3 Dy 3.25-3.41, 1 Ac 3.46
Dy 0.7414 0.2586 0.0000  1 Y 2.95
Dy 0.7763 0.7763 0.9577  3 Y 3.18-3.39, 3 Dy 3.25-3.31, 1 Ac 3.49
Dy 0.8958 0.3977 0.7597  3 Dy 3.31-3.67, 2 Y 3.45-3.53
Y 0.0000 0.0000 0.0000  4 Dy 2.95-3.18
Y 0.0121 0.0121 0.3565  2 Y 3.16-3.50, 4 Dy 3.28-3.50, 1 Ac 3.32
Y 0.4903 0.4903 0.1782  1 Y 3.17, 5 Dy 3.23-3.39, 1 Ac 3.47
Y 0.5000 0.5000 0.5000  2 Y 3.17, 2 Ac 3.35, 4 Dy 3.53
Y 0.5097 0.5097 0.8218  1 Y 3.17, 5 Dy 3.23-3.39, 1 Ac 3.47
Y 0.9879 0.9879 0.6435  2 Y 3.16-3.50, 4 Dy 3.28-3.50, 1 Ac 3.32

---

# 2
Compound: Ga2P3H3O9
Source: Alexandria
Functional: PBE
Structure: optimized geometry

Results
E_tot ... -105.45 eV per formula unit

a = 8.0839 Å, b = 8.0839 Å, c = 7.3492 Å
α = 90.00°, β = 90.00°, γ = 120.00°
Closest atoms and distances in Å follow each position.
Atoms (fractional coordinates):
Ga 0.3333 0.6667 0.0490  6 O 1.92-2.08
Ga 0.3333 0.6667 0.4510  6 O 1.92-2.08
Ga 0.6667 0.3333 0.5490  6 O 1.92-2.08
Ga 0.6667 0.3333 0.9510  6 O 1.92-2.08
P 0.0472 0.6884 0.7500  1 H 1.40, 3 O 1.53-1.57
P 0.3116 0.3588 0.7500  1 H 1.40, 3 O 1.53-1.57
P 0.3588 0.0472 0.2500  1 H 1.40, 3 O 1.53-1.57
P 0.6412 0.9528 0.7500  1 H 1.40, 3 O 1.53-1.57
P 0.6884 0.6412 0.2500  1 H 1.40, 3 O 1.53-1.57
P 0.9528 0.3116 0.2500  1 H 1.40, 3 O 1.53-1.57
H 0.0208 0.1824 0.2500  1 P 1.40
H 0.1616 0.9792 0.2500  1 P 1.40
H 0.1824 0.1616 0.7500  1 P 1.40
H 0.8176 0.8384 0.2500  1 P 1.40
H 0.8384 0.0208 0.7500  1 P 1.40
H 0.9792 0.8176 0.7500  1 P 1.40
O 0.1317 0.5173 0.2500  1 P 1.57
O 0.1616 0.7272 0.5743  1 P 1.53
O 0.1616 0.7272 0.9257  1 P 1.53
O 0.2728 0.4344 0.5743  1 P 1.53
O 0.2728 0.4344 0.9257  1 P 1.53
O 0.3856 0.8683 0.2500  1 P 1.57
O 0.4344 0.1616 0.0743  1 P 1.53
O 0.4344 0.1616 0.4257  1 P 1.53
O 0.4827 0.6144 0.2500  1 P 1.57
O 0.5173 0.3856 0.7500  1 P 1.57
O 0.5656 0.8384 0.5743  1 P 1.53
O 0.5656 0.8384 0.9257  1 P 1.53
O 0.6144 0.1317 0.7500  1 P 1.57
O 0.7272 0.5656 0.0743  1 P 1.53
O 0.7272 0.5656 0.4257  1 P 1.53
O 0.8384 0.2728 0.0743  1 P 1.53
O 0.8384 0.2728 0.4257  1 P 1.53
O 0.8683 0.4827 0.7500  1 P 1.57

---

# 3
Compound: Dy3Pu5Te8
Source: Alexandria
Functional: PBE
Structure: optimized geometry

Results
Formation energy (no corrections) ... -1175 meV per atom

a = 8.8499 Å, b = 8.8499 Å, c = 8.8499 Å
α = 59.29°, β = 59.29°, γ = 59.29°
Closest atoms and distances in Å follow each position.
Atoms (fractional coordinates):
Dy 0.0000 0.5000 0.5000  6 Te 3.09
Dy 0.5000 0.0000 0.5000  6 Te 3.09
Dy 0.5000 0.5000 0.0000  6 Te 3.09
Pu 0.0000 0.0000 0.0000  6 Te 3.12
Pu 0.0000 0.0000 0.5000  6 Te 3.13-3.14
Pu 0.0000 0.5000 0.0000  6 Te 3.13-3.14
Pu 0.5000 0.0000 0.0000  6 Te 3.13-3.14
Pu 0.5000 0.5000 0.5000  6 Te 3.11
Te 0.2503 0.2503 0.7460  2 Dy 3.09, 4 Pu 3.11-3.14
Te 0.2503 0.7460 0.2503  2 Dy 3.09, 4 Pu 3.11-3.14
Te 0.2517 0.2517 0.2517  3 Dy 3.09, 3 Pu 3.13
Te 0.2540 0.7497 0.7497  2 Dy 3.09, 4 Pu 3.11-3.14
Te 0.7460 0.2503 0.2503  2 Dy 3.09, 4 Pu 3.11-3.14
Te 0.7483 0.7483 0.7483  3 Dy 3.09, 3 Pu 3.13
Te 0.7497 0.2540 0.7497  2 Dy 3.09, 4 Pu 3.11-3.14
Te 0.7497 0.7497 0.2540  2 Dy 3.09, 4 Pu 3.11-3.14

---

# 4
Compound: YPuRu
Source: Alexandria
Functional: PBE
Structure: optimized geometry

Results
E_tot ... -30.38 eV per formula unit

a = 4.3917 Å, b = 4.3917 Å, c = 7.4302 Å
α = 90.00°, β = 90.00°, γ = 90.00°
Closest atoms and distances in Å follow each position.
Atoms (fractional coordinates):
Y 0.2500 0.2500 0.1300  1 Ru 2.90
Y 0.7500 0.7500 0.8700  1 Ru 2.90
Pu 0.2500 0.7500 0.5000  4 Ru 2.83, 4 Pu 3.11
Pu 0.7500 0.2500 0.5000  4 Ru 2.83, 4 Pu 3.11
Ru 0.2500 0.2500 0.7398  4 Pu 2.83, 1 Y 2.90
Ru 0.7500 0.7500 0.2602  4 Pu 2.83, 1 Y 2.90

---

# 5
Compound: HoGaPd
Source: Alexandria
Functional: PBE
Structure: optimized geometry

Results
E_tot ... -15.48 eV per formula unit

a = 6.8446 Å, b = 4.4747 Å, c = 7.6850 Å
α = 90.00°, β = 90.00°, γ = 90.00°
Closest atoms and distances in Å follow each position.
Atoms (fractional coordinates):
Ho 0.0158 0.2500 0.2014  5 Pd 2.90-3.11, 6 Ga 3.09-3.21
Ho 0.4842 0.7500 0.7014  5 Pd 2.90-3.11, 6 Ga 3.09-3.21
Ho 0.5158 0.2500 0.2986  5 Pd 2.90-3.11, 6 Ga 3.09-3.21
Ho 0.9842 0.7500 0.7986  5 Pd 2.90-3.11, 6 Ga 3.09-3.21
Ga 0.1792 0.2500 0.5760  4 Pd 2.61-2.76
Ga 0.3208 0.7500 0.0760  4 Pd 2.61-2.76
Ga 0.6792 0.2500 0.9240  4 Pd 2.61-2.76
Ga 0.8208 0.7500 0.4240  4 Pd 2.61-2.76
Pd 0.2227 0.7500 0.4048  4 Ga 2.61-2.76, 1 Ho 2.90
Pd 0.2773 0.2500 0.9048  4 Ga 2.61-2.76, 1 Ho 2.90
Pd 0.7227 0.7500 0.0952  4 Ga 2.61-2.76, 1 Ho 2.90
Pd 0.7773 0.2500 0.5952  4 Ga 2.61-2.76, 1 Ho 2.90

---

# 6
Compound: Ba2MgAg2
Source: Alexandria
Functional: PBE
Structure: optimized geometry

Results
E_tot ... -11.08 eV per formula unit

a = 9.5224 Å, b = 9.5224 Å, c = 4.1218 Å
α = 90.00°, β = 90.00°, γ = 90.00°
Closest atoms and distances in Å follow each position.
Atoms (fractional coordinates):
Ba 0.1703 0.3297 0.0000  6 Ag 3.45-3.55, 2 Mg 3.53
Ba 0.3297 0.8297 0.0000  6 Ag 3.45-3.55, 2 Mg 3.53
Ba 0.6703 0.1703 0.0000  6 Ag 3.45-3.55, 2 Mg 3.53
Ba 0.8297 0.6703 0.0000  6 Ag 3.45-3.55, 2 Mg 3.53
Mg 0.0000 0.0000 0.0000  4 Ba 3.53
Mg 0.5000 0.5000 0.0000  4 Ba 3.53
Ag 0.1151 0.6151 0.5000  1 Ag 3.10, 4 Ba 3.45
Ag 0.3849 0.1151 0.5000  1 Ag 3.10, 4 Ba 3.45
Ag 0.6151 0.8849 0.5000  1 Ag 3.10, 4 Ba 3.45
Ag 0.8849 0.3849 0.5000  1 Ag 3.10, 4 Ba 3.45

---

# 7
Compound: SrMg2P
Source: Alexandria
Functional: PBE
Structure: optimized geometry

Results
E_tot ... -11.41 eV per formula unit

a = 4.1394 Å, b = 4.1394 Å, c = 23.4246 Å
α = 90.00°, β = 90.00°, γ = 120.00°
Closest atoms and distances in Å follow each position.
Atoms (fractional coordinates):
Sr 0.0000 0.0000 0.0000  6 Mg 3.66
Sr 0.3333 0.6667 0.6667  6 Mg 3.66
Sr 0.6667 0.3333 0.3333  6 Mg 3.66
Mg 0.0000 0.0000 0.2150  3 P 2.64
Mg 0.0000 0.0000 0.7850  3 P 2.64
Mg 0.3333 0.6667 0.4517  3 P 2.64
Mg 0.3333 0.6667 0.8817  3 P 2.64
Mg 0.6667 0.3333 0.1183  3 P 2.64
Mg 0.6667 0.3333 0.5483  3 P 2.64
P 0.0000 0.0000 0.5000  6 Mg 2.64
P 0.3333 0.6667 0.1667  6 Mg 2.64
P 0.6667 0.3333 0.8333  6 Mg 2.64

---

# 8
Compound: Cs2Rb5
Source: Alexandria
Functional: PBE
Structure: optimized geometry

Results
E_tot ... -6.50 eV per formula unit

a = 12.5799 Å, b = 12.5799 Å, c = 12.5799 Å
α = 37.73°, β = 37.73°, γ = 37.73°
Closest atoms and distances in Å follow each position.
Atoms (fractional coordinates):
Cs 0.1414 0.1414 0.1414  5 Rb 4.95-5.12, 3 Cs 5.02
Cs 0.8586 0.8586 0.8586  5 Rb 4.95-5.12, 3 Cs 5.02
Rb 0.0000 0.0000 0.0000  2 Cs 4.95, 6 Rb 4.96
Rb 0.2878 0.2878 0.2878  7 Rb 4.86-4.99, 1 Cs 5.12
Rb 0.4267 0.4267 0.4267  5 Rb 4.86-5.13, 3 Cs 4.99
Rb 0.5733 0.5733 0.5733  5 Rb 4.86-5.13, 3 Cs 4.99
Rb 0.7122 0.7122 0.7122  7 Rb 4.86-4.99, 1 Cs 5.12

---

# 9
Compound: Ba2GeRh2
Source: Alexandria
Functional: PBE
Structure: optimized geometry

Results
E_tot ... -24.24 eV per formula unit

a = 6.9376 Å, b = 6.9376 Å, c = 5.0903 Å
α = 90.00°, β = 90.00°, γ = 90.00°
Closest atoms and distances in Å follow each position.
Atoms (fractional coordinates):
Ba 0.1821 0.3179 0.0000  6 Rh 3.10-3.39
Ba 0.3179 0.8179 0.0000  6 Rh 3.10-3.39
Ba 0.6821 0.1821 0.0000  6 Rh 3.10-3.39
Ba 0.8179 0.6821 0.0000  6 Rh 3.10-3.39
Ge 0.0000 0.0000 0.5000  4 Rh 2.69
Ge 0.5000 0.5000 0.5000  4 Rh 2.69
Rh 0.1375 0.6375 0.5000  2 Ge 2.69, 1 Rh 2.70
Rh 0.3625 0.1375 0.5000  2 Ge 2.69, 1 Rh 2.70
Rh 0.6375 0.8625 0.5000  2 Ge 2.69, 1 Rh 2.70
Rh 0.8625 0.3625 0.5000  2 Ge 2.69, 1 Rh 2.70

---

# 10
Compound: Mn2PRh
Source: Alexandria
Functional: PBE
Structure: optimized geometry

Results
E_tot ... -32.23 eV per formula unit

a = 2.9296 Å, b = 4.1655 Å, c = 8.5095 Å
α = 90.00°, β = 90.00°, γ = 90.00°
Closest atoms and distances in Å follow each position.
Atoms (fractional coordinates):
Mn 0.0000 0.0000 0.0000  2 P 2.36, 4 Rh 2.61
Mn 0.0000 0.5000 0.2186  4 P 2.55, 4 Rh 2.76-2.84, 4 Mn 2.79-2.81
Mn 0.5000 0.0000 0.7186  4 P 2.55, 4 Rh 2.76-2.84, 4 Mn 2.79-2.81
Mn 0.5000 0.5000 0.5000  2 P 2.36, 4 Rh 2.61
P 0.0000 0.5000 0.7174  2 Rh 2.34, 6 Mn 2.36-2.55
P 0.5000 0.0000 0.2174  2 Rh 2.34, 6 Mn 2.36-2.55
Rh 0.0000 0.0000 0.4322  2 P 2.34, 4 Mn 2.61
Rh 0.5000 0.5000 0.9322  2 P 2.34, 4 Mn 2.61

---

# 11
Compound: Ho2Si2NiRh5
Source: Alexandria
Functional: PBE
Structure: optimized geometry

Results
Formation energy (no corrections) ... -789 meV per atom

a = 9.6479 Å, b = 9.6479 Å, c = 3.4353 Å
α = 90.00°, β = 90.00°, γ = 90.00°
Closest atoms and distances in Å follow each position.
Atoms (fractional coordinates):
Ho 0.1738 0.3262 0.0000  3 Si 2.72-2.94, 2 Rh 2.93
Ho 0.3262 0.8262 0.0000  3 Si 2.72-2.94, 2 Rh 2.93
Ho 0.6738 0.1738 0.0000  3 Si 2.72-2.94, 2 Rh 2.93
Ho 0.8262 0.6738 0.0000  3 Si 2.72-2.94, 2 Rh 2.93
Si 0.1269 0.6269 0.0000  6 Rh 2.41-2.44
Si 0.3731 0.1269 0.0000  6 Rh 2.41-2.44
Si 0.6269 0.8731 0.0000  6 Rh 2.41-2.44
Si 0.8731 0.3731 0.0000  6 Rh 2.41-2.44
Ni 0.0000 0.0000 0.0000  8 Rh 2.72
Ni 0.5000 0.5000 0.0000  8 Rh 2.72
Rh 0.0000 0.5000 0.5000  4 Si 2.44
Rh 0.0674 0.7915 0.5000  2 Si 2.41
Rh 0.2085 0.0674 0.5000  2 Si 2.41
Rh 0.2915 0.5674 0.5000  2 Si 2.41
Rh 0.4326 0.2915 0.5000  2 Si 2.41
Rh 0.5000 0.0000 0.5000  4 Si 2.44
Rh 0.5674 0.7085 0.5000  2 Si 2.41
Rh 0.7085 0.4326 0.5000  2 Si 2.41
Rh 0.7915 0.9326 0.5000  2 Si 2.41
Rh 0.9326 0.2085 0.5000  2 Si 2.41

---

# 12
Compound: Y2Ga3SiNi4
Source: Alexandria
Functional: PBE
Structure: optimized geometry

Results
Formation energy (no corrections) ... -626 meV per atom

a = 4.0063 Å, b = 4.0063 Å, c = 10.0126 Å
α = 90.00°, β = 90.00°, γ = 90.00°
Closest atoms and distances in Å follow each position.
Atoms (fractional coordinates):
Y 0.0000 0.5000 0.2420  8 Ni 3.06-3.27, 6 Ga 3.10-3.14, 2 Si 3.14
Y 0.5000 0.0000 0.7580  8 Ni 3.06-3.27, 6 Ga 3.10-3.14, 2 Si 3.14
Ga 0.0000 0.0000 0.0000  4 Ni 2.37
Ga 0.0000 0.5000 0.6333  5 Ni 2.40-2.41
Ga 0.5000 0.0000 0.3667  5 Ni 2.40-2.41
Si 0.5000 0.5000 0.0000  4 Ni 2.37
Ni 0.0000 0.0000 0.5000  4 Ga 2.41
Ni 0.0000 0.5000 0.8730  2 Si 2.37, 3 Ga 2.37-2.40
Ni 0.5000 0.0000 0.1270  2 Si 2.37, 3 Ga 2.37-2.40
Ni 0.5000 0.5000 0.5000  4 Ga 2.41

---

# 13
Compound: Tl3BRu
Source: Alexandria
Functional: PBE
Structure: optimized geometry

Results
E_tot ... -16.59 eV per formula unit

a = 4.8453 Å, b = 4.8453 Å, c = 4.8453 Å
α = 90.00°, β = 90.00°, γ = 90.00°
Closest atoms and distances in Å follow each position.
Atoms (fractional coordinates):
Tl 0.0000 0.0000 0.5000  2 B 2.42
Tl 0.0000 0.5000 0.0000  2 B 2.42
Tl 0.5000 0.0000 0.0000  2 B 2.42
B 0.0000 0.0000 0.0000  6 Tl 2.42
Ru 0.5000 0.5000 0.5000  12 Tl 3.43

---

# 14
Compound: ScCo2Re
Source: Alexandria
Functional: PBE
Structure: optimized geometry

Results
E_tot ... -32.38 eV per formula unit

a = 8.4359 Å, b = 2.7255 Å, c = 5.1079 Å
α = 90.00°, β = 98.74°, γ = 90.00°
Closest atoms and distances in Å follow each position.
Atoms (fractional coordinates):
Sc 0.0000 0.0000 0.0000  2 Sc 2.73, 6 Co 2.76-2.80, 4 Re 2.89
Sc 0.5000 0.5000 0.0000  2 Sc 2.73, 6 Co 2.76-2.80, 4 Re 2.89
Co 0.2454 0.0000 0.6992  4 Co 2.46-2.73, 3 Re 2.51-2.56
Co 0.2546 0.5000 0.3008  4 Co 2.46-2.73, 3 Re 2.51-2.56
Co 0.7454 0.5000 0.6992  4 Co 2.46-2.73, 3 Re 2.51-2.56
Co 0.7546 0.0000 0.3008  4 Co 2.46-2.73, 3 Re 2.51-2.56
Re 0.0000 0.5000 0.5000  6 Co 2.51-2.56, 2 Re 2.73
Re 0.5000 0.0000 0.5000  6 Co 2.51-2.56, 2 Re 2.73

---

# 15
Compound: NaHgF3
Source: Alexandria
Functional: PBE
Structure: optimized geometry

Results
Formation energy (no corrections) ... -1944 meV per atom

a = 6.1214 Å, b = 8.5999 Å, c = 5.9593 Å
α = 90.00°, β = 90.00°, γ = 90.00°
Closest atoms and distances in Å follow each position.
Atoms (fractional coordinates):
Na 0.0479 0.2500 0.0021  4 F 2.29-2.32
Na 0.4521 0.7500 0.5021  4 F 2.29-2.32
Na 0.5479 0.2500 0.4979  4 F 2.29-2.32
Na 0.9521 0.7500 0.9979  4 F 2.29-2.32
Hg 0.0000 0.0000 0.5000  6 F 2.30-2.38
Hg 0.0000 0.5000 0.5000  6 F 2.30-2.38
Hg 0.5000 0.0000 0.0000  6 F 2.30-2.38
Hg 0.5000 0.5000 0.0000  6 F 2.30-2.38
F 0.0979 0.7500 0.6409  2 Na 2.31-2.32, 2 Hg 2.38
F 0.1730 0.5724 0.1732  1 Na 2.29, 2 Hg 2.30-2.34
F 0.1730 0.9276 0.1732  1 Na 2.29, 2 Hg 2.30-2.34
F 0.3270 0.0724 0.6732  1 Na 2.29, 2 Hg 2.30-2.34
F 0.3270 0.4276 0.6732  1 Na 2.29, 2 Hg 2.30-2.34
F 0.4021 0.2500 0.1409  2 Na 2.31-2.32, 2 Hg 2.38
F 0.5979 0.7500 0.8591  2 Na 2.31-2.32, 2 Hg 2.38
F 0.6730 0.5724 0.3268  1 Na 2.29, 2 Hg 2.30-2.34
F 0.6730 0.9276 0.3268  1 Na 2.29, 2 Hg 2.30-2.34
F 0.8270 0.0724 0.8268  1 Na 2.29, 2 Hg 2.30-2.34
F 0.8270 0.4276 0.8268  1 Na 2.29, 2 Hg 2.30-2.34
F 0.9021 0.2500 0.3591  2 Na 2.31-2.32, 2 Hg 2.38

---

Number 1: ρ 6.3 g/cm³. Number 2: ρ 3.0 g/cm³. Number 3: ρ 9.4 g/cm³. Number 4: ρ 10.1 g/cm³. Number 5: ρ 9.6 g/cm³. Number 6: ρ 4.6 g/cm³. Number 7: ρ 2.4 g/cm³. Number 8: ρ 1.7 g/cm³. Number 9: ρ 7.5 g/cm³. Number 10: ρ 7.8 g/cm³. Number 11: ρ 10.0 g/cm³. Number 12: ρ 6.7 g/cm³. Number 13: ρ 10.6 g/cm³. Number 14: ρ 10.0 g/cm³. Number 15: ρ 5.9 g/cm³.